1.
A geometry-optimized Ho5Bi2Pd structure. Source: the Alexandria database, functional PBE-GGA.

Calculated values
- calculated volume (A^3/atom) = 28.07
- DFT total energy (Ha/atom) = -0.190
- calculated formation energy (meV per atom) = -684
- DOS at the Fermi energy (states/eV/f.u.) = 7.77

Cell lengths 12.3407, 9.0375, 8.0538 Å; angles 90.00, 90.00, 90.00 degrees
Space group Pnma (No. 62)
One atom of each set of equivalent atoms:
Ho 0.0006 0.2500 0.0437
Ho 0.0666 0.0495 0.6797
Ho 0.1977 0.7500 0.3699
Ho 0.2113 0.2500 0.3360
Bi 0.1734 0.5091 0.0680
Pd 0.0143 0.7500 0.5842

=====

2.
A geometry-optimized Ca2FeSb structure. Source: the Alexandria database, functional PBE-GGA.

Calculated values
- calculated volume (A^3/atom) = 32.30
- DFT total energy (Ha/atom) = -0.151
- uncorrected formation energy (meV per atom) = 45
- DOS at the Fermi energy (states/eV/f.u.) = 3.34

Cell lengths 10.3877, 10.3877, 4.7895 Å; angles 90.00, 90.00, 90.00 degrees
Space group I-42d (No. 122)
One atom of each set of equivalent atoms:
Ca 0.0751 0.7500 0.1250
Fe 0.0000 0.0000 0.0000
Sb 0.0000 0.0000 0.5000

=====

3.
A geometry-optimized IrI2Br structure. Source: the Alexandria database, functional PBE-GGA.

Calculated values
- calculated volume (A^3/atom) = 23.97
- DFT total energy (Ha/atom) = -0.087
- uncorrected formation energy (meV per atom) = 1038
- DOS at the Fermi energy (states/eV/f.u.) = 4.17

Cell lengths 7.2657, 7.2657, 7.2657 Å; angles 90.00, 90.00, 90.00 degrees
Space group Fm-3m (No. 225)
One atom of each set of equivalent atoms:
Ir 0.0000 0.0000 0.0000
I 0.2500 0.2500 0.2500
Br 0.0000 0.0000 0.5000

=====

4.
A geometry-optimized Pu3Zn9Cu2 structure. Source: the Alexandria database, functional PBE-GGA.

Calculated values
- calculated volume (A^3/atom) = 17.84
- DFT total energy (Ha/atom) = -0.169
- calculated formation energy (meV per atom) = -114
- DOS at the Fermi energy (states/eV/f.u.) = 31.79

Cell lengths 4.4634, 8.9797, 12.4641 Å; angles 90.00, 90.00, 90.00 degrees
Space group Immm (No. 71)
One atom of each set of equivalent atoms:
Pu 0.0000 0.0000 0.0000
Pu 0.0000 0.0000 0.2867
Zn 0.0000 0.2887 0.1347
Zn 0.0000 0.3551 0.3489
Zn 0.0000 0.5000 0.0000
Cu 0.0000 0.1628 0.5000

=====

5.
A geometry-optimized InSiAg2 structure. Source: the Alexandria database, functional PBE-GGA.

Calculated values
- calculated volume (A^3/atom) = 18.96
- DFT total energy (Ha/atom) = -0.119
- uncorrected formation energy (meV per atom) = 235
- DOS at the Fermi energy (states/eV/f.u.) = 1.53

Cell lengths 4.1815, 4.1815, 8.6754 Å; angles 90.00, 90.00, 90.00 degrees
Space group I4/mmm (No. 139)
One atom of each set of equivalent atoms:
In 0.0000 0.0000 0.0000
Si 0.0000 0.0000 0.5000
Ag 0.0000 0.5000 0.2500

=====

6.
A geometry-optimized Zr2AlPt structure. Source: the Alexandria database, functional PBE-GGA.

Calculated values
- calculated volume (A^3/atom) = 19.27
- DFT total energy (Ha/atom) = -0.270
- calculated formation energy (meV per atom) = -640
- DOS at the Fermi energy (states/eV/f.u.) = 1.55

Cell lengths 3.3169, 3.3169, 7.0069 Å; angles 90.00, 90.00, 90.00 degrees
Space group P4mm (No. 99)
One atom of each set of equivalent atoms:
Zr 0.0000 0.0000 0.0000
Zr 0.5000 0.5000 0.3007
Al 0.0000 0.0000 0.5714
Pt 0.5000 0.5000 0.7580

=====

7.
A geometry-optimized Fe3CuPd6 structure. Source: the Alexandria database, functional PBE-GGA.

Calculated values
- calculated volume (A^3/atom) = 14.30
- DFT total energy (Ha/atom) = -0.225
- calculated formation energy (meV per atom) = -72
- DOS at the Fermi energy (states/eV/f.u.) = 9.61

Cell lengths 7.2193, 4.4251, 9.5772 Å; angles 90.00, 110.83, 90.00 degrees
Space group P2_1/m (No. 11)
One atom of each set of equivalent atoms:
Fe 0.1051 0.2500 0.2250
Fe 0.2958 0.2500 0.0303
Fe 0.3190 0.7500 0.3698
Cu 0.1070 0.7500 0.5718
Pd 0.0707 0.2500 0.7174
Pd 0.1034 0.7500 0.0730
Pd 0.2791 0.2500 0.5182
Pd 0.2890 0.7500 0.8652
Pd 0.4927 0.2500 0.8328
Pd 0.4961 0.2500 0.3321

=====

8.
A geometry-optimized Fe2MoHIr structure. Source: the Alexandria database, functional PBE-GGA.

Calculated values
- calculated volume (A^3/atom) = 10.60
- DFT total energy (Ha/atom) = -0.294
- DOS at the Fermi energy (states/eV/f.u.) = 3.96

Cell lengths 3.7287, 3.7287, 3.8131 Å; angles 90.00, 90.00, 90.00 degrees
Space group P4/mmm (No. 123)
One atom of each set of equivalent atoms:
Fe 0.0000 0.5000 0.0000
Mo 0.0000 0.0000 0.5000
H 0.0000 0.0000 0.0000
Ir 0.5000 0.5000 0.5000

=====

9.
A geometry-optimized In2SnB structure. Source: the Alexandria database, functional PBE-GGA.

Calculated values
- calculated volume (A^3/atom) = 26.12
- DFT total energy (Ha/atom) = -0.126
- calculated formation energy (meV per atom) = 611
- DOS at the Fermi energy (states/eV/f.u.) = 0.17

Cell lengths 6.5289, 6.5289, 9.8030 Å; angles 90.00, 90.00, 90.00 degrees
Space group I-42d (No. 122)
One atom of each set of equivalent atoms:
In 0.1463 0.2500 0.1250
Sn 0.0000 0.0000 0.5000
B 0.0000 0.0000 0.0000

=====

10.
A geometry-optimized Be4AsOs2 structure. Source: the Alexandria database, functional PBE-GGA.

Calculated values
- calculated volume (A^3/atom) = 14.04
- DFT total energy (Ha/atom) = -0.179
- calculated formation energy (meV per atom) = 1133
- DOS at the Fermi energy (states/eV/f.u.) = 6.10

Cell lengths 4.1519, 4.1519, 11.4003 Å; angles 90.00, 90.00, 90.00 degrees
Space group I4/mmm (No. 139)
One atom of each set of equivalent atoms:
Be 0.0000 0.0000 0.1906
Be 0.0000 0.5000 0.0000
As 0.0000 0.0000 0.0000
Os 0.0000 0.0000 0.3854

=====

11.
A geometry-optimized ZrInOs structure. Source: the Alexandria database, functional PBE-GGA.

Calculated values
- calculated volume (A^3/atom) = 19.12
- DFT total energy (Ha/atom) = -0.279
- calculated formation energy (meV per atom) = -84
- DOS at the Fermi energy (states/eV/f.u.) = 2.21

Cell lengths 3.2576, 3.7644, 9.3531 Å; angles 90.00, 90.00, 90.00 degrees
Space group Imm2 (No. 44)
One atom of each set of equivalent atoms:
Zr 0.0000 0.0000 0.0000
In 0.0000 0.0000 0.6887
Os 0.0000 0.0000 0.3565

=====

12.
A geometry-optimized ErScIrPt structure. Source: the Alexandria database, functional PBE-GGA.

Calculated values
- calculated volume (A^3/atom) = 18.79
- DFT total energy (Ha/atom) = -0.277
- calculated formation energy (meV per atom) = -1095
- DOS at the Fermi energy (states/eV/f.u.) = 2.19

Cell lengths 3.3292, 3.3292, 6.7803 Å; angles 90.00, 90.00, 90.00 degrees
Space group P4mm (No. 99)
One atom of each set of equivalent atoms:
Er 0.0000 0.0000 0.0000
Sc 0.0000 0.0000 0.4876
Ir 0.5000 0.5000 0.2609
Pt 0.5000 0.5000 0.7281

=====

13.
A geometry-optimized Er3TlIn structure. Source: the Alexandria database, functional PBE-GGA.

Calculated values
- calculated volume (A^3/atom) = 28.55
- DFT total energy (Ha/atom) = -0.144
- calculated formation energy (meV per atom) = -162
- DOS at the Fermi energy (states/eV/f.u.) = 4.78

Cell lengths 12.9877, 10.7742, 9.1491 Å; angles 90.00, 116.86, 90.00 degrees
Space group C2/c (No. 15)
One atom of each set of equivalent atoms:
Er 0.1197 0.1564 0.1201
Er 0.1536 0.4970 0.0843
Er 0.1664 0.1600 0.5427
Tl 0.1315 0.3004 0.8197
In 0.0000 0.0373 0.7500
In 0.0000 0.3585 0.2500

=====

14.
A geometry-optimized Pm3In2Hg3 structure. Source: the Alexandria database, functional PBE-GGA.

Calculated values
- calculated volume (A^3/atom) = 27.20
- DFT total energy (Ha/atom) = -0.111
- calculated formation energy (meV per atom) = -439
- DOS at the Fermi energy (states/eV/f.u.) = 4.76

Cell lengths 4.7409, 11.6718, 15.7318 Å; angles 90.00, 90.00, 90.00 degrees
Space group Cmcm (No. 63)
One atom of each set of equivalent atoms:
Pm 0.0000 0.0805 0.1092
Pm 0.0000 0.3586 0.2500
In 0.0000 0.2087 0.6096
Hg 0.0000 0.3749 0.7500
Hg 0.0000 0.3831 0.0347

=====

15.
A geometry-optimized Sm4Dy4Cd structure. Source: the Alexandria database, functional PBE-GGA.

Calculated values
- calculated volume (A^3/atom) = 31.21
- DFT total energy (Ha/atom) = -0.157
- calculated formation energy (meV per atom) = -17
- DOS at the Fermi energy (states/eV/f.u.) = 12.65

Cell lengths 10.6120, 10.6120, 4.9890 Å; angles 90.00, 90.00, 90.00 degrees
Space group I4/mmm (No. 139)
One atom of each set of equivalent atoms:
Sm 0.1642 0.1642 0.0000
Dy 0.0000 0.3336 0.5000
Cd 0.0000 0.0000 0.5000

=====

16.
A geometry-optimized YHoGaPd structure. Source: the Alexandria database, functional PBE-GGA.

Calculated values
- calculated volume (A^3/atom) = 22.32
- DFT total energy (Ha/atom) = -0.203
- calculated formation energy (meV per atom) = -717
- DOS at the Fermi energy (states/eV/f.u.) = 3.27

Cell lengths 7.0952, 7.0952, 7.0952 Å; angles 90.00, 90.00, 90.00 degrees
Space group F-43m (No. 216)
One atom of each set of equivalent atoms:
Y 0.0000 0.0000 0.0000
Ho 0.0000 0.0000 0.5000
Ga 0.2500 0.2500 0.2500
Pd 0.2500 0.2500 0.7500

=====

17.
A geometry-optimized Ac6PrPd3 structure. Source: the Alexandria database, functional PBE-GGA.

Calculated values
- calculated volume (A^3/atom) = 35.14
- DFT total energy (Ha/atom) = -0.181
- calculated formation energy (meV per atom) = -430
- DOS at the Fermi energy (states/eV/f.u.) = 11.74

Cell lengths 12.4637, 14.4304, 7.8159 Å; angles 90.00, 90.00, 90.00 degrees
Space group Cmc2_1 (No. 36)
One atom of each set of equivalent atoms:
Ac 0.0000 0.0390 0.0000
Ac 0.0000 0.2304 0.6497
Ac 0.1668 0.4591 0.4773
Ac 0.2251 0.1992 0.3330
Pr 0.0000 0.3267 0.1109
Pd 0.0000 0.4281 0.7766
Pd 0.1850 0.0909 0.6862

=====

18.
A geometry-optimized Sc2GeRh6 structure. Source: the Alexandria database, functional PBE-GGA.

Calculated values
- calculated volume (A^3/atom) = 16.23
- DFT total energy (Ha/atom) = -0.264
- calculated formation energy (meV per atom) = -373
- DOS at the Fermi energy (states/eV/f.u.) = 8.46

Cell lengths 13.9080, 7.3111, 2.9375 Å; angles 90.00, 102.06, 90.00 degrees
Space group C2/m (No. 12)
One atom of each set of equivalent atoms:
Sc 0.1584 0.0000 0.1556
Ge 0.0000 0.5000 0.5000
Rh 0.0000 0.2263 0.0000
Rh 0.1689 0.3039 0.6679

=====

19.
A geometry-optimized CrNi6Mo structure. Source: the Alexandria database, functional PBE-GGA.

Calculated values
- calculated volume (A^3/atom) = 11.74
- DFT total energy (Ha/atom) = -0.253
- calculated formation energy (meV per atom) = 8
- DOS at the Fermi energy (states/eV/f.u.) = 7.62

Cell lengths 7.2156, 10.1959, 10.2095 Å; angles 90.00, 90.00, 90.00 degrees
Space group Cmmm (No. 65)
One atom of each set of equivalent atoms:
Cr 0.0000 0.0000 0.2455
Cr 0.0000 0.2513 0.0000
Ni 0.0000 0.0000 0.0000
Ni 0.0000 0.0000 0.5000
Ni 0.0000 0.2505 0.2514
Ni 0.0000 0.5000 0.0000
Ni 0.0000 0.5000 0.5000
Ni 0.2491 0.3751 0.1252
Ni 0.2503 0.1249 0.3752
Mo 0.0000 0.2513 0.5000
Mo 0.0000 0.5000 0.2443

=====

20.
A geometry-optimized AcIn4CuAg2 structure. Source: the Alexandria database, functional PBE-GGA.

Calculated values
- calculated volume (A^3/atom) = 24.08
- DFT total energy (Ha/atom) = -0.119
- calculated formation energy (meV per atom) = -135
- DOS at the Fermi energy (states/eV/f.u.) = 3.12

Cell lengths 4.8199, 4.8199, 28.7273 Å; angles 90.00, 90.00, 120.00 degrees
Space group R-3m (No. 166, hexagonal axes)
One atom of each set of equivalent atoms:
Ac 0.0000 0.0000 0.0000
In 0.0000 0.0000 0.1332
In 0.0000 0.0000 0.4034
Cu 0.0000 0.0000 0.5000
Ag 0.0000 0.0000 0.2439